Density functional theory data (PBE) for an optimized crystal structure of ErMg14Zn.

Cell lengths 6.7118, 6.7118, 8.1937 Å; angles 90.00, 90.00, 90.00 degrees
Fractional positions:
Er 0.0000 0.0000 0.0000
Mg 0.0000 0.0000 0.5000
Mg 0.0000 0.5000 0.0000
Mg 0.0000 0.5000 0.5000
Mg 0.2584 0.2584 0.2478
Mg 0.2584 0.2584 0.7522
Mg 0.2584 0.7416 0.2478
Mg 0.2584 0.7416 0.7522
Mg 0.5000 0.0000 0.0000
Mg 0.5000 0.0000 0.5000
Mg 0.5000 0.5000 0.5000
Mg 0.7416 0.2584 0.2478
Mg 0.7416 0.2584 0.7522
Mg 0.7416 0.7416 0.2478
Mg 0.7416 0.7416 0.7522
Zn 0.5000 0.5000 0.0000

Properties
Space group: P4/mmm
Calculated formation energy, eV/atom: 0.0139
Calculated volume, Å³/f.u.: 369.1



Density functional theory data (PBE) for an optimized crystal structure of TcSb3Ru.

Cell lengths 5.0806, 5.0806, 5.0806 Å; angles 90.00, 90.00, 90.00 degrees
Fractional positions:
Tc 0.0000 0.0000 0.0000
Sb 0.0000 0.5000 0.5000
Sb 0.5000 0.0000 0.5000
Sb 0.5000 0.5000 0.0000
Ru 0.5000 0.5000 0.5000

Properties
Space group: Pm-3m
E_form (uncorrected), meV/atom: 1061
Calculated volume, Å³/f.u.: 131.1



Density functional theory data (PBE) for an optimized crystal structure of Ca2AsBr.

Cell lengths 4.3235, 4.3235, 5.8881 Å; angles 90.00, 90.00, 90.00 degrees
Fractional positions:
Ca 0.0000 0.0000 0.0000
Ca 0.5000 0.5000 0.5000
As 0.0000 0.0000 0.5000
Br 0.5000 0.5000 0.0000

Properties
Space group: P4/mmm
E_form (uncorrected), meV/atom: -1456
Calculated volume, Å³/f.u.: 110.1



Density functional theory data (PBE) for an optimized crystal structure of AcZnSi2Pd.

Cell lengths 4.3335, 4.3335, 10.3650 Å; angles 90.00, 90.00, 90.00 degrees
Fractional positions:
Ac 0.0000 0.0000 0.0000
Ac 0.5000 0.5000 0.5000
Zn 0.0000 0.5000 0.7500
Zn 0.5000 0.0000 0.2500
Si 0.0000 0.0000 0.3806
Si 0.0000 0.0000 0.6194
Si 0.5000 0.5000 0.1194
Si 0.5000 0.5000 0.8806
Pd 0.0000 0.5000 0.2500
Pd 0.5000 0.0000 0.7500

Properties
Space group: I-4m2
E_form (uncorrected), meV/atom: -683
Calculated volume, Å³/f.u.: 97.3



Density functional theory data (PBE) for an optimized crystal structure of SrTl2IrO8.

Cell lengths 4.8501, 4.9868, 7.0840 Å; angles 90.06, 90.51, 92.28 degrees
Fractional positions:
Sr 0.0000 0.0000 0.0000
Tl 0.4967 0.4992 0.7417
Tl 0.5033 0.5008 0.2583
Ir 0.0000 0.0000 0.5000
O 0.2194 0.3367 0.4986
O 0.2272 0.4680 0.0010
O 0.2311 0.8752 0.3072
O 0.2358 0.8798 0.6958
O 0.7642 0.1202 0.3042
O 0.7689 0.1248 0.6928
O 0.7728 0.5320 0.9990
O 0.7806 0.6633 0.5014

Properties
Space group: P-1
E_form (uncorrected), meV/atom: -825
Calculated volume, Å³/f.u.: 171.2



Density functional theory data (PBE) for an optimized crystal structure of FeCoRh2.

Cell lengths 2.6733, 2.6733, 25.2370 Å; angles 90.00, 90.00, 120.00 degrees
Fractional positions:
Fe 0.0000 0.0000 0.0000
Fe 0.3333 0.6667 0.6667
Fe 0.6667 0.3333 0.3333
Co 0.0000 0.0000 0.7443
Co 0.3333 0.6667 0.4110
Co 0.6667 0.3333 0.0777
Rh 0.0000 0.0000 0.2506
Rh 0.0000 0.0000 0.4935
Rh 0.3333 0.6667 0.1602
Rh 0.3333 0.6667 0.9172
Rh 0.6667 0.3333 0.5839
Rh 0.6667 0.3333 0.8268

Properties
Space group: R3m
Calculated formation energy, eV/atom: 0.0835
Calculated volume, Å³/f.u.: 52.1



Density functional theory data (PBE) for an optimized crystal structure of Tb2Y2Al3.

Cell lengths 3.5570, 28.3865, 3.5504 Å; angles 90.00, 90.00, 90.00 degrees
Fractional positions:
Tb 0.0000 0.1935 0.0000
Tb 0.0000 0.8065 0.0000
Tb 0.5000 0.3065 0.0000
Tb 0.5000 0.6935 0.0000
Y 0.0000 0.0644 0.0000
Y 0.0000 0.9356 0.0000
Y 0.5000 0.4356 0.0000
Y 0.5000 0.5644 0.0000
Al 0.0000 0.3701 0.5000
Al 0.0000 0.5000 0.5000
Al 0.0000 0.6299 0.5000
Al 0.5000 0.0000 0.5000
Al 0.5000 0.1299 0.5000
Al 0.5000 0.8701 0.5000

Properties
Space group: Cmmm
Calculated formation energy, eV/atom: -0.2932
Calculated volume, Å³/f.u.: 179.2



Density functional theory data (PBE) for an optimized crystal structure of PaRe6.

Cell lengths 8.5677, 5.1880, 10.8693 Å; angles 90.00, 90.00, 90.00 degrees
Fractional positions:
Pa 0.2486 0.2500 0.0579
Pa 0.2514 0.7500 0.5579
Pa 0.7486 0.2500 0.4421
Pa 0.7514 0.7500 0.9421
Re 0.0595 0.7500 0.0757
Re 0.0650 0.0083 0.3107
Re 0.0650 0.4917 0.3107
Re 0.1231 0.2500 0.5265
Re 0.1387 0.7500 0.8468
Re 0.1898 0.2500 0.7617
Re 0.3102 0.7500 0.2617
Re 0.3613 0.2500 0.3468
Re 0.3769 0.7500 0.0265
Re 0.4350 0.5083 0.8107
Re 0.4350 0.9917 0.8107
Re 0.4405 0.2500 0.5757
Re 0.5595 0.7500 0.4243
Re 0.5650 0.0083 0.1893
Re 0.5650 0.4917 0.1893
Re 0.6231 0.2500 0.9735
Re 0.6387 0.7500 0.6532
Re 0.6898 0.2500 0.7383
Re 0.8102 0.7500 0.2383
Re 0.8613 0.2500 0.1532
Re 0.8769 0.7500 0.4735
Re 0.9350 0.5083 0.6893
Re 0.9350 0.9917 0.6893
Re 0.9405 0.2500 0.9243

Properties
Space group: Pnma
Calculated formation energy, eV/atom: 0.0362
Calculated volume, Å³/f.u.: 120.8



Density functional theory data (PBE) for an optimized crystal structure of Ce2AgMo.

Cell lengths 3.4591, 3.4591, 7.8066 Å; angles 90.00, 90.00, 90.00 degrees
Fractional positions:
Ce 0.0000 0.0000 0.2217
Ce 0.0000 0.0000 0.7783
Ag 0.5000 0.5000 0.5000
Mo 0.5000 0.5000 0.0000

Properties
Space group: P4/mmm
Calculated formation energy, eV/atom: 0.0966
Calculated volume, Å³/f.u.: 93.4



Density functional theory data (PBE) for an optimized crystal structure of CsSc3Ru.

Cell lengths 5.2436, 5.2436, 5.2436 Å; angles 90.00, 90.00, 90.00 degrees
Fractional positions:
Cs 0.0000 0.0000 0.0000
Sc 0.0000 0.5000 0.5000
Sc 0.5000 0.0000 0.5000
Sc 0.5000 0.5000 0.0000
Ru 0.5000 0.5000 0.5000

Properties
Space group: Pm-3m
Calculated formation energy, eV/atom: 0.1872
Calculated volume, Å³/f.u.: 144.2



Density functional theory data (PBE) for an optimized crystal structure of Er8Co2Rh.

Cell lengths 8.7852, 8.7852, 6.6097 Å; angles 106.20, 106.20, 32.29 degrees
Fractional positions:
Er 0.0361 0.0361 0.2898
Er 0.2015 0.2015 0.8215
Er 0.3275 0.3275 0.5257
Er 0.4048 0.4048 0.0452
Er 0.5952 0.5952 0.9548
Er 0.6725 0.6725 0.4743
Er 0.7985 0.7985 0.1785
Er 0.9639 0.9639 0.7102
Co 0.1878 0.1878 0.2065
Co 0.8122 0.8122 0.7935
Rh 0.5000 0.5000 0.5000

Properties
Space group: C2/m
Calculated formation energy, eV/atom: -0.2647
Calculated volume, Å³/f.u.: 260.8



Density functional theory data (PBE) for an optimized crystal structure of Sm2Tl3CdS6.

Cell lengths 7.0805, 7.0805, 7.6370 Å; angles 98.98, 98.98, 120.01 degrees
Fractional positions:
Sm 0.1665 0.8335 0.0000
Sm 0.8335 0.1665 0.0000
Tl 0.0000 0.0000 0.5000
Tl 0.3322 0.6678 0.5000
Tl 0.6678 0.3322 0.5000
Cd 0.5000 0.5000 0.0000
S 0.0972 0.4298 0.7902
S 0.2379 0.2379 0.2116
S 0.4298 0.0972 0.7902
S 0.5702 0.9028 0.2098
S 0.7621 0.7621 0.7884
S 0.9028 0.5702 0.2098

Properties
Space group: C2/m
E_form (uncorrected), meV/atom: -1044
Calculated volume, Å³/f.u.: 315.0